Material: TbEr7Cd4
Method: DFT, PBE-GGA
State: optimized geometry

Calculated values
Symmetry: C2/m, No. 12
VASP energy, eV per atom: -3.330
Fermi-level density of states, states/eV per cell: 13.7

Lattice parameters (Å, degrees): 5.661 8.944 7.820 69.93 68.78 71.55
Fractional coordinates of all 12 atoms:
Er: 0.261 0.695 0.783
Er: 0.794 0.881 0.532
Er: 0.928 0.414 0.730
Er: 0.500 0.000 0.000
Er: 0.739 0.305 0.217
Er: 0.072 0.586 0.270
Er: 0.206 0.119 0.468
Cd: 0.319 0.341 0.022
Cd: 0.542 0.289 0.627
Cd: 0.681 0.659 0.978
Cd: 0.458 0.711 0.373
Tb: 0.000 0.000 0.000